Entry 1:
Density functional theory data (GGA-PBE) for an optimized crystal structure of CdBr.

Cell lengths 7.8118, 7.8118, 7.8118 Å; angles 148.84, 148.84, 44.65 degrees
Element x y z (fractional)
Br 0.0000 0.0000 0.0000
Br 0.2500 0.7500 0.5000
Cd 0.5000 0.5000 0.0000
Cd 0.7500 0.2500 0.5000

Results
energy relative to the elements, uncorrected = -272 meV per atom

=====

Entry 2:
Density functional theory data (GGA-PBE) for an optimized crystal structure of La3SnN.

Cell lengths 7.7908, 7.7908, 7.7908 Å; angles 54.62, 54.62, 54.62 degrees
Element x y z (fractional)
N 0.1667 0.1667 0.1667
N 0.8333 0.8333 0.8333
Sn 0.3728 0.3728 0.3728
Sn 0.6272 0.6272 0.6272
La 0.4240 0.0154 0.8363
La 0.0154 0.8363 0.4240
La 0.1637 0.5760 0.9846
La 0.9846 0.1637 0.5760
La 0.5760 0.9846 0.1637
La 0.8363 0.4240 0.0154

Results
energy relative to the elements, uncorrected = -715 meV per atom

=====

Entry 3:
Density functional theory data (GGA-PBE) for an optimized crystal structure of CaZrTcO6.

Cell lengths 5.3651, 5.3651, 9.9853 Å; angles 90.00, 90.00, 120.00 degrees
Element x y z (fractional)
Ca 0.0000 0.0000 0.0000
Ca 0.0000 0.0000 0.5000
Zr 0.6667 0.3333 0.2500
Zr 0.3333 0.6667 0.7500
Tc 0.3333 0.6667 0.2500
Tc 0.6667 0.3333 0.7500
O 0.6247 0.6490 0.1416
O 0.0242 0.3753 0.1416
O 0.3753 0.0243 0.6416
O 0.9758 0.6247 0.8584
O 0.3510 0.3753 0.3584
O 0.0242 0.6490 0.3584
O 0.6490 0.0243 0.8584
O 0.6247 0.9757 0.3584
O 0.9758 0.3510 0.6416
O 0.3510 0.9757 0.1416
O 0.6490 0.6247 0.6416
O 0.3753 0.3510 0.8584

Results
energy relative to the elements, uncorrected = -2339 meV per atom

=====

Entry 4:
Density functional theory data (GGA-PBE) for an optimized crystal structure of Zn2CrFeAu.

Cell lengths 4.8032, 4.8816, 4.8032 Å; angles 90.00, 90.00, 90.00 degrees
Element x y z (fractional)
Cr 0.5000 0.5000 0.5000
Zn 0.0000 0.0000 0.5000
Zn 0.5000 0.0000 0.0000
Au 0.0000 0.0000 0.0000
Fe 0.0000 0.5000 0.0000

Results
formation enthalpy at 0 K = 0.942 eV/atom

=====

Entry 5:
Density functional theory data (GGA-PBE) for an optimized crystal structure of Li2NdZnAg4.

Cell lengths 4.5304, 4.5304, 9.1764 Å; angles 75.71, 75.71, 60.00 degrees
Element x y z (fractional)
Li 0.7649 0.7649 0.7054
Li 0.2351 0.2351 0.2946
Nd 0.0000 0.0000 0.0000
Zn 0.5000 0.5000 0.5000
Ag 0.4009 0.4009 0.7972
Ag 0.8714 0.8714 0.3857
Ag 0.1286 0.1286 0.6143
Ag 0.5990 0.5990 0.2028

Results
formation enthalpy at 0 K = -0.165 eV/atom

=====

Entry 6:
Density functional theory data (GGA-PBE) for an optimized crystal structure of AcTeBr2.

Cell lengths 4.7592, 6.5869, 9.5394 Å; angles 90.00, 90.00, 111.18 degrees
Element x y z (fractional)
Ac 0.2354 0.4709 0.2500
Ac 0.7646 0.5291 0.7500
Te 0.9372 0.8745 0.2500
Te 0.0628 0.1255 0.7500
Br 0.3535 0.7070 0.5547
Br 0.6465 0.2930 0.4453
Br 0.6465 0.2930 0.0547
Br 0.3535 0.7070 0.9453

Results
energy relative to the elements, uncorrected = -1448 meV per atom
excess energy over the best structure of this formula in the dataset = 0.00 kcal/mol of atoms

=====

Number 1: VASP energy -1.5664 eV/atom. Number 2: VASP energy -6.1370 eV/atom. Number 3: VASP energy -7.9683 eV/atom. Number 4: VASP energy -3.8400 eV/atom. Number 5: VASP energy -2.8243 eV/atom. Number 6: VASP energy -4.0972 eV/atom.